VASP calculation (PBE) on a geometry-optimized SmY2Se3 structure.

```
SmY2Se3
1.0
4.1248 0.0000 0.0000
0.0000 5.8082 0.0000
-2.0624 -2.9041 6.1737
Sm Y Se
1 2 3
direct
0.5000 0.5000 0.5000
0.8377 0.8377 0.1753
0.1623 0.1623 0.8247
0.8278 0.3278 0.1557
0.1722 0.6722 0.8443
0.5000 0.0000 0.5000
```

Properties
Its energy is -6.464 eV per atom. The value obtained for the formation energy from raw total energies is -1780.8 meV per atom.